# Pb3S8 (PBE, relaxed)
# Energy = -0.3005 Ry/atom
# Formation energy without anion corrections = -75 meV per atom
data_Pb3S8
_chemical_formula_sum 'Pb3 S8'
_cell_length_a 4.046
_cell_length_b 6.733
_cell_length_c 11.777
_cell_angle_alpha 74.33
_cell_angle_beta 81.06
_cell_angle_gamma 73.09
_symmetry_space_group_name_H-M 'P -1'
_symmetry_Int_Tables_number 2
_symmetry_space_group_name_Hall '-P 1'
loop_
_atom_site_label
_atom_site_type_symbol
_atom_site_fract_x
_atom_site_fract_y
_atom_site_fract_z
_atom_site_occupancy
Pb1 Pb 0.000 0.000 0.000 1
Pb2 Pb 0.071 0.177 0.651 1
S1 S 0.167 0.374 0.335 1
S2 S 0.184 0.562 0.952 1
S3 S 0.368 0.732 0.590 1
S4 S 0.464 0.914 0.186 1


# HfCrAgS4 (PBE, relaxed)
# Energy = -0.4710 Ry/atom
# Relative energy among the computed polymorphs = 9.4 kJ per mole of atoms
# Formation energy without anion corrections = -846 meV per atom
data_HfCrAgS4
_chemical_formula_sum 'Hf4 Cr4 Ag4 S16'
_cell_length_a 3.593
_cell_length_b 11.365
_cell_length_c 13.129
_cell_angle_alpha 90.00
_cell_angle_beta 90.00
_cell_angle_gamma 90.00
_symmetry_space_group_name_H-M 'P m n 21'
_symmetry_Int_Tables_number 31
_symmetry_space_group_name_Hall 'P 2ac -2'
loop_
_atom_site_label
_atom_site_type_symbol
_atom_site_fract_x
_atom_site_fract_y
_atom_site_fract_z
_atom_site_occupancy
Hf1 Hf 0.000 0.177 0.000 1
Hf2 Hf 0.000 0.204 0.529 1
Cr1 Cr 0.000 0.657 0.321 1
Cr2 Cr 0.000 0.691 0.805 1
Ag1 Ag 0.000 0.512 0.611 1
Ag2 Ag 0.000 0.995 0.738 1
S1 S 0.000 0.167 0.339 1
S2 S 0.000 0.299 0.704 1
S3 S 0.000 0.382 0.938 1
S4 S 0.000 0.447 0.266 1
S5 S 0.000 0.651 0.982 1
S6 S 0.000 0.777 0.628 1
S7 S 0.000 0.866 0.369 1
S8 S 0.000 0.952 0.069 1


# LiTa2As (PBE, relaxed)
# Energy = -0.5346 Ry/atom
# Formation energy from the elements = 1.17 eV/f.u.
data_LiTa2As
_chemical_formula_sum 'Li3 Ta6 As3'
_cell_length_a 2.9047
_cell_length_b 2.9047
_cell_length_c 29.0730
_cell_angle_alpha 90.00
_cell_angle_beta 90.00
_cell_angle_gamma 120.00
_symmetry_space_group_name_H-M 'R -3 m'
_symmetry_Int_Tables_number 166
_symmetry_space_group_name_Hall '-R 3 2"'
loop_
_atom_site_label
_atom_site_type_symbol
_atom_site_fract_x
_atom_site_fract_y
_atom_site_fract_z
_atom_site_occupancy
Li1 Li 0.0000 0.0000 0.0000 1
Ta1 Ta 0.0000 0.0000 0.2447 1
As1 As 0.0000 0.0000 0.5000 1


Q: Which of these has the lowest energy?
A: LiTa2As


Q: Look up the energy of the second one.
A: -0.4710 Ry/atom